{
  "formula": "Y2MoRu",
  "functional": "PBE",
  "state": "optimized geometry",
  "formation_enthalpy_0k_ev_per_atom": 0.15,
  "total_magnetization_mub_per_fu": 0.00,
  "dos_ef_per_ev_atom": 0.5215,
  "e_above_lowest_polymorph_mev_per_atom": 117,
  "lattice_angstrom": [[4.214, 0.000, 0.000], [0.000, 3.351, 0.014], [0.000, 1.771, 6.486]],
  "species": ["Mo", "Ru", "Y", "Y"],
  "frac_coords": [[0.000, 0.588, 0.541], [0.500, 0.668, 0.710], [0.000, 0.977, 0.942], [0.500, 0.268, 0.307]]
}